LiAcMgAg | PBE | optimized geometry

Properties
The calculation puts the uncorrected energy at -2.761 eV per atom. The density of states at the Fermi level is 6.56 states/eV/cell.

Cell and atoms, written as CIF:
```
data_LiAcMgAg
_chemical_formula_sum 'Li2 Ac2 Mg2 Ag2'
_cell_length_a 8.429
_cell_length_b 4.864
_cell_length_c 5.909
_cell_angle_alpha 90.00
_cell_angle_beta 118.53
_cell_angle_gamma 90.00
_space_group_name_H-M_alt 'C 1 m 1'
_space_group_IT_number 8
loop_
_space_group_symop_operation_xyz
'x,y,z'
'x,-y,z'
'x+1/2,y+1/2,z'
'x+1/2,-y+1/2,z'
loop_
_atom_site_label
_atom_site_fract_x
_atom_site_fract_y
_atom_site_fract_z
Li1 0.000 0.000 0.000
Ac1 0.207 0.000 0.623
Mg1 0.215 0.500 0.145
Ag1 0.414 0.000 0.243
```

Li3Ac2TbPb4 | PBE | optimized geometry

Properties
The calculation puts the uncorrected energy at -3.818 eV per atom. The density of states at the Fermi level is 1.91 states/eV/cell.

Cell and atoms, written as CIF:
```
data_Li3Ac2TbPb4
_chemical_formula_sum 'Li3 Ac2 Tb1 Pb4'
_cell_length_a 4.823
_cell_length_b 4.823
_cell_length_c 12.212
_cell_angle_alpha 90.00
_cell_angle_beta 90.00
_cell_angle_gamma 90.00
_space_group_name_H-M_alt 'P -4 m 2'
_space_group_IT_number 115
loop_
_space_group_symop_operation_xyz
'x,y,z'
'y,-x,-z'
'-x,-y,z'
'-y,x,-z'
'-x,y,z'
'-y,-x,-z'
'x,-y,z'
'y,x,-z'
loop_
_atom_site_label
_atom_site_fract_x
_atom_site_fract_y
_atom_site_fract_z
Li1 0.000 0.000 0.000
Li2 0.000 0.500 0.624
Ac1 0.000 0.500 0.270
Tb1 0.500 0.500 0.000
Pb1 0.000 0.000 0.500
Pb2 0.000 0.500 0.846
Pb3 0.500 0.500 0.500
```

LaTa2Pt | PBE | optimized geometry

Properties
The calculation puts the uncorrected energy at -8.596 eV per atom. The density of states at the Fermi level is 3.53 states/eV/cell.

Cell and atoms, written as CIF:
```
data_LaTa2Pt
_chemical_formula_sum 'La1 Ta2 Pt1'
_cell_length_a 2.919
_cell_length_b 2.919
_cell_length_c 9.532
_cell_angle_alpha 90.00
_cell_angle_beta 90.00
_cell_angle_gamma 90.00
_space_group_name_H-M_alt 'P 4/m m m'
_space_group_IT_number 123
_space_group_name_Hall '-P 4 2'
loop_
_atom_site_label
_atom_site_fract_x
_atom_site_fract_y
_atom_site_fract_z
La1 0.000 0.000 0.000
Ta1 0.500 0.500 0.292
Pt1 0.000 0.000 0.500
```

CuSnI2N | PBE | optimized geometry

Properties
The calculation puts the uncorrected energy at -3.338 eV per atom. The formation energy from raw total energies is 0.57 eV/atom. The density of states at the Fermi level is 2.19 states/eV/cell.

Cell and atoms, written as CIF:
```
data_CuSnI2N
_chemical_formula_sum 'Cu1 Sn1 I2 N1'
_cell_length_a 5.808
_cell_length_b 5.808
_cell_length_c 3.741
_cell_angle_alpha 90.00
_cell_angle_beta 90.00
_cell_angle_gamma 90.00
_space_group_name_H-M_alt 'P 4/m m m'
_space_group_IT_number 123
_space_group_name_Hall '-P 4 2'
loop_
_atom_site_label
_atom_site_fract_x
_atom_site_fract_y
_atom_site_fract_z
Cu1 0.000 0.000 0.000
Sn1 0.500 0.500 0.500
I1 0.000 0.500 0.000
N1 0.000 0.000 0.500
```

LiPuZrTc | PBE | optimized geometry

Properties
The calculation puts the uncorrected energy at -8.757 eV per atom. The density of states at the Fermi level is 30.67 states/eV/cell.

Cell and atoms, written as CIF:
```
data_LiPuZrTc
_chemical_formula_sum 'Li4 Pu4 Zr4 Tc4'
_cell_length_a 6.727
_cell_length_b 6.727
_cell_length_c 6.727
_cell_angle_alpha 90.00
_cell_angle_beta 90.00
_cell_angle_gamma 90.00
_space_group_name_H-M_alt 'F -4 3 m'
_space_group_IT_number 216
_space_group_name_Hall 'F -4 2 3'
loop_
_atom_site_label
_atom_site_fract_x
_atom_site_fract_y
_atom_site_fract_z
Li1 0.000 0.000 0.000
Pu1 0.250 0.250 0.250
Zr1 0.250 0.250 0.750
Tc1 0.000 0.000 0.500
```

KSb2Se | PBE | optimized geometry

Properties
The calculation puts the uncorrected energy at -3.486 eV per atom. The formation energy from raw total energies is -0.28 eV/atom. The density of states at the Fermi level is 1.72 states/eV/cell.

Cell and atoms, written as CIF:
```
data_KSb2Se
_chemical_formula_sum 'K1 Sb2 Se1'
_cell_length_a 3.165
_cell_length_b 4.285
_cell_length_c 8.901
_cell_angle_alpha 90.00
_cell_angle_beta 90.07
_cell_angle_gamma 90.00
_space_group_name_H-M_alt 'P 1 m 1'
_space_group_IT_number 6
loop_
_space_group_symop_operation_xyz
'x,y,z'
'x,-y,z'
loop_
_atom_site_label
_atom_site_fract_x
_atom_site_fract_y
_atom_site_fract_z
K1 0.000 0.000 0.000
Sb1 0.501 0.000 0.530
Sb2 0.502 0.500 0.299
Se1 0.499 0.500 0.779
```